{
  "formula": "NiBRh3",
  "functional": "PBE",
  "state": "relaxed",
  "relative_energy_ev_per_atom": 1.974,
  "magnetic_moment_mub_per_fu": 2.66,
  "formation_enthalpy_0k_mev_per_atom": 1877,
  "lattice_angstrom": [[4.428, 0.000, 0.000], [0.000, 4.428, 0.000], [0.000, 0.000, 4.428]],
  "species": ["Ni", "B", "Rh", "Rh", "Rh"],
  "fractional_positions": [[0.000, 0.000, 0.000], [0.500, 0.500, 0.500], [0.000, 0.000, 0.500], [0.000, 0.500, 0.000], [0.500, 0.000, 0.000]]
}